No. 1
A relaxed Mg3MnH crystal, computed with GGA-PBE.

The total moment is 0.644 μB per atom. The calculation puts the polymorph energy (0 for the lowest one) at 0.0 kJ/mol of atoms.

It has space group Pm-3m (No. 221), with a = 4.292 Å, b = 4.292 Å, c = 4.292 Å, α = 90.00°, β = 90.00° and γ = 90.00°. The inequivalent atoms are Mg at (0.000, 0.000, 0.500), Mn at (0.500, 0.500, 0.500) and H at (0.000, 0.000, 0.000).

No. 2
A relaxed Sm3Ge3Au crystal, computed with GGA-PBE.

As for the formation energy: -0.834 eV per atom. The total moment is 0.000 μB per atom.

It has space group C2/m (No. 12), with a = 10.952 Å, b = 4.434 Å, c = 14.273 Å, α = 90.00°, β = 110.07° and γ = 90.00°. The inequivalent atoms are Sm at (0.030, 0.000, 0.378), Sm at (0.104, 0.000, 0.925), Sm at (0.240, 0.000, 0.223), Ge at (0.023, 0.500, 0.226), Ge at (0.117, 0.500, 0.075), Ge at (0.128, 0.500, 0.544) and Au at (0.241, 0.500, 0.390).

No. 3
A relaxed TeAuSe crystal, computed with GGA-PBE.

The total moment is 0.000 μB per atom. The calculation puts the polymorph energy (0 for the lowest one) at 1.3 kJ/mol of atoms.

It has space group P-1 (No. 2), with a = 4.034 Å, b = 5.965 Å, c = 7.463 Å, α = 106.03°, β = 102.83° and γ = 93.78°. The inequivalent atoms are Te at (0.184, 0.280, 0.304), Au at (0.442, 0.738, 0.963) and Se at (0.079, 0.826, 0.219).

No. 4
A relaxed BaAc8Co5 crystal, computed with GGA-PBE.

As for the formation energy: 0.004 eV per atom. The total moment is 0.000 μB per atom.

It has space group C2/m (No. 12), with a = 21.973 Å, b = 4.277 Å, c = 10.348 Å, α = 90.00°, β = 104.10° and γ = 90.00°. The inequivalent atoms are Ba at (0.000, 0.000, 0.000), Ac at (0.072, 0.000, 0.658), Ac at (0.096, 0.500, 0.358), Ac at (0.176, 0.500, 0.987), Ac at (0.244, 0.500, 0.663), Co at (0.000, 0.500, 0.500), Co at (0.168, 0.000, 0.519) and Co at (0.202, 0.000, 0.813).

No. 5
A relaxed NiPd6Pt8 crystal, computed with GGA-PBE.

As for the formation energy: 0.182 eV per atom. The total moment is 0.204 μB per atom.

It has space group P3 (No. 143), with a = 7.2902 Å, b = 7.2902 Å, c = 5.5033 Å, α = 90.00°, β = 90.00° and γ = 120.00°. The inequivalent atoms are Ni at (0.0000, 0.0000, 0.0000), Pd at (0.0159, 0.7192, 0.7315), Pd at (0.3735, 0.0081, 0.4859), Pt at (0.2923, 0.2867, 0.2392), Pt at (0.3333, 0.6667, 0.2282), Pt at (0.3679, 0.0068, 0.9908) and Pt at (0.6667, 0.3333, 0.7523).

No. 6
A relaxed HfZr2S6 crystal, computed with GGA-PBE.

The total moment is 0.000 μB per atom. The calculation puts the polymorph energy (0 for the lowest one) at 0.0 kJ/mol of atoms.

It has space group C2/m (No. 12), with a = 14.498 Å, b = 3.675 Å, c = 9.412 Å, α = 90.00°, β = 111.48° and γ = 90.00°. The inequivalent atoms are Hf at (0.000, 0.000, 0.000), Zr at (0.167, 0.500, 0.332), S at (0.034, 0.000, 0.286), S at (0.130, 0.500, 0.042) and S at (0.201, 0.500, 0.622).

No. 7
A relaxed Ce2PrSb3 crystal, computed with GGA-PBE.

The total moment is 0.312 μB per atom. The calculation puts the polymorph energy (0 for the lowest one) at 13.9 kJ/mol of atoms.

It has space group R-3c (No. 167, hexagonal axes), with a = 7.7595 Å, b = 7.7595 Å, c = 23.4682 Å, α = 90.00°, β = 90.00° and γ = 120.00°. The inequivalent atoms are Ce at (0.0000, 0.0000, 0.1661), Pr at (0.0000, 0.0000, 0.0000) and Sb at (0.0000, 0.3293, 0.2500).

No. 8
A relaxed Tb4Nd3Er5 crystal, computed with GGA-PBE.

As for the formation energy: 0.018 eV per atom. The total moment is 0.000 μB per atom. The calculation puts the polymorph energy (0 for the lowest one) at 0.0 kJ/mol of atoms.

It has space group P-1 (No. 2), with a = 6.175 Å, b = 7.134 Å, c = 8.733 Å, α = 89.96°, β = 89.86° and γ = 89.84°. The inequivalent atoms are Tb at (0.167, 0.000, 0.332), Tb at (0.331, 0.751, 0.667), Nd at (0.333, 0.250, 0.667), Nd at (0.500, 0.500, 0.000), Er at (0.001, 0.751, 0.000), Er at (0.165, 0.500, 0.332) and Er at (0.500, 0.000, 0.000).

No. 9
A relaxed MnCuCl2 crystal, computed with GGA-PBE.

The total moment is 1.087 μB per atom. The calculation puts the polymorph energy (0 for the lowest one) at 25.9 kJ/mol of atoms.

It has space group C2/m (No. 12), with a = 7.036 Å, b = 7.065 Å, c = 3.340 Å, α = 90.00°, β = 90.28° and γ = 90.00°. The inequivalent atoms are Mn at (0.000, 0.000, 0.000), Cu at (0.000, 0.500, 0.000) and Cl at (0.250, 0.250, 0.000).

No. 10
A relaxed BaCdPt crystal, computed with GGA-PBE.

As for the formation energy: -0.582 eV per atom. The total moment is 0.000 μB per atom.

It has space group P-6m2 (No. 187), with a = 4.7671 Å, b = 4.7671 Å, c = 4.5292 Å, α = 90.00°, β = 90.00° and γ = 120.00°. The inequivalent atoms are Ba at (0.0000, 0.0000, 0.0000), Cd at (0.3333, 0.6667, 0.5000) and Pt at (0.6667, 0.3333, 0.5000).

No. 11
A relaxed Ba4As crystal, computed with GGA-PBE.

As for the formation energy: -0.450 eV per atom. The total moment is 0.000 μB per atom. The calculation puts the polymorph energy (0 for the lowest one) at 1.9 kJ/mol of atoms.

It has space group Pm-3m (No. 221), with a = 6.573 Å, b = 6.573 Å, c = 6.573 Å, α = 90.00°, β = 90.00° and γ = 90.00°. The inequivalent atoms are Ba at (0.000, 0.000, 0.000), Ba at (0.000, 0.500, 0.500) and As at (0.500, 0.500, 0.500).

No. 12
A relaxed MnHgAu2 crystal, computed with GGA-PBE.

As for the formation energy: 0.067 eV per atom. The total moment is 1.029 μB per atom.

It has space group P4mm (No. 99), with a = 3.459 Å, b = 3.459 Å, c = 6.134 Å, α = 90.00°, β = 90.00° and γ = 90.00°. The inequivalent atoms are Mn at (0.000, 0.000, 0.000), Hg at (0.500, 0.500, 0.735), Au at (0.000, 0.000, 0.472) and Au at (0.500, 0.500, 0.212).

No. 13
A relaxed Sr6AgP2N crystal, computed with GGA-PBE.

The total moment is 0.000 μB per atom. Its total energy is -38.7 eV per formula unit.

It has space group P2_1/c (No. 14), with a = 7.318 Å, b = 7.916 Å, c = 12.302 Å, α = 90.00°, β = 120.93° and γ = 90.00°. The inequivalent atoms are Sr at (0.059, 0.070, 0.222), Sr at (0.236, 0.712, 0.088), Sr at (0.354, 0.163, 0.063), Ag at (0.500, 0.000, 0.500), P at (0.318, 0.102, 0.771) and N at (0.000, 0.000, 0.000).

No. 14
A relaxed Pm3Pu3NbN8 crystal, computed with GGA-PBE.

The total moment is 0.287 μB per atom. Its total energy is -151.8 eV per formula unit.

It has space group C2/m (No. 12), with a = 11.876 Å, b = 6.867 Å, c = 6.953 Å, α = 90.00°, β = 124.46° and γ = 90.00°. The inequivalent atoms are Pm at (0.000, 0.000, 0.000), Pm at (0.250, 0.250, 0.000), Pu at (0.000, 0.500, 0.500), Pu at (0.250, 0.250, 0.500), Nb at (0.000, 0.000, 0.500), N at (0.008, 0.232, 0.294), N at (0.223, 0.000, 0.703) and N at (0.246, 0.500, 0.735).

No. 15
A relaxed CsNa2Si2 crystal, computed with GGA-PBE.

The total moment is 0.000 μB per atom. The calculation puts the polymorph energy (0 for the lowest one) at 0.0 kJ/mol of atoms.

It has space group I4/mmm (No. 139), with a = 5.558 Å, b = 5.558 Å, c = 10.172 Å, α = 90.00°, β = 90.00° and γ = 90.00°. The inequivalent atoms are Cs at (0.000, 0.000, 0.000), Na at (0.000, 0.500, 0.250) and Si at (0.000, 0.000, 0.392).

No. 16
A relaxed MgAg3Hg3 crystal, computed with GGA-PBE.

As for the formation energy: 0.483 eV per atom. The total moment is 0.000 μB per atom.

It has space group Pm-3n (No. 223), with a = 7.808 Å, b = 7.808 Å, c = 7.808 Å, α = 90.00°, β = 90.00° and γ = 90.00°. The inequivalent atoms are Mg at (0.000, 0.000, 0.000), Ag at (0.000, 0.250, 0.500) and Hg at (0.000, 0.500, 0.250).

No. 17
A relaxed SrDy2MoN4 crystal, computed with GGA-PBE.

The total moment is 0.052 μB per atom. Its total energy is -63.6 eV per formula unit.

It has space group Cmcm (No. 63), with a = 3.438 Å, b = 12.154 Å, c = 12.124 Å, α = 90.00°, β = 90.00° and γ = 90.00°. The inequivalent atoms are Sr at (0.000, 0.080, 0.250), Dy at (0.000, 0.372, 0.039), Mo at (0.000, 0.181, 0.750), N at (0.000, 0.000, 0.000), N at (0.000, 0.260, 0.616) and N at (0.000, 0.413, 0.250).

No. 18
A relaxed SrSmAu crystal, computed with GGA-PBE.

As for the formation energy: -0.485 eV per atom. The total moment is 0.000 μB per atom. The calculation puts the polymorph energy (0 for the lowest one) at 0.0 kJ/mol of atoms.

It has space group I4mm (No. 107), with a = 3.797 Å, b = 3.797 Å, c = 13.559 Å, α = 90.00°, β = 90.00° and γ = 90.00°. The inequivalent atoms are Sr at (0.000, 0.000, 0.000), Sm at (0.000, 0.000, 0.266) and Au at (0.000, 0.000, 0.659).

No. 19
A relaxed TiBH crystal, computed with GGA-PBE.

The total moment is 0.000 μB per atom. The calculation puts the polymorph energy (0 for the lowest one) at 27.8 kJ/mol of atoms.

It has space group Pnma (No. 62), with a = 4.772 Å, b = 3.543 Å, c = 5.840 Å, α = 90.00°, β = 90.00° and γ = 90.00°. The inequivalent atoms are Ti at (0.238, 0.250, 0.091), B at (0.013, 0.250, 0.754) and H at (0.103, 0.250, 0.539).

No. 20
A relaxed MgMnMoCl2 crystal, computed with GGA-PBE.

The total moment is 0.122 μB per atom. Its total energy is -19.2 eV per formula unit.

It has space group P4/mmm (No. 123), with a = 4.361 Å, b = 4.361 Å, c = 6.397 Å, α = 90.00°, β = 90.00° and γ = 90.00°. The inequivalent atoms are Mg at (0.000, 0.000, 0.000), Mn at (0.000, 0.000, 0.500), Mo at (0.500, 0.500, 0.500) and Cl at (0.000, 0.500, 0.000).

No. 21
A relaxed CaTb4Pm3Se8 crystal, computed with GGA-PBE.

The total moment is 0.000 μB per atom. Its total energy is -91.7 eV per formula unit.

It has space group R-3m (No. 166, hexagonal axes), with a = 8.2912 Å, b = 8.2912 Å, c = 20.3045 Å, α = 90.00°, β = 90.00° and γ = 120.00°. The inequivalent atoms are Ca at (0.0000, 0.0000, 0.0000), Tb at (0.0000, 0.0000, 0.5000), Tb at (0.0000, 0.5000, 0.5000), Pm at (0.0000, 0.5000, 0.0000), Se at (0.0000, 0.0000, 0.2469) and Se at (0.0037, 0.5019, 0.7522).

No. 22
A relaxed AcCeGdAg crystal, computed with GGA-PBE.

As for the formation energy: 0.183 eV per atom. The total moment is 2.538 μB per atom.

It has space group F-43m (No. 216), with a = 7.834 Å, b = 7.834 Å, c = 7.834 Å, α = 90.00°, β = 90.00° and γ = 90.00°. The inequivalent atoms are Ac at (0.000, 0.000, 0.000), Ce at (0.250, 0.250, 0.750), Gd at (0.250, 0.250, 0.250) and Ag at (0.000, 0.000, 0.500).